Record 1
The following is a DFT calculation (PBE) of Zn2InSbBr after structural relaxation.

a b c (Å): 5.1275 5.1275 5.8967
angles (deg): 90.00 90.00 90.00
Last column: nearest neighbours and their distance in Å.
Space group P4/mmm (No. 123)
One atom of each set of equivalent atoms:
Zn 0.0000 0.5000 0.0000  2 In 2.56
In 0.0000 0.0000 0.0000  4 Zn 2.56
Sb 0.0000 0.0000 0.5000  2 In 2.95
Br 0.5000 0.5000 0.5000  4 Sb 3.63, 8 Zn 3.91

Size of the total moment = 0.00 μB/f.u.
Calculated volume = 155 Å³/cell
Uncorrected energy = -1.867 eV/atom



Record 2
The following is a DFT calculation (PBE) of SmPd6 after structural relaxation.

a b c (Å): 6.0119 6.0119 6.0119
angles (deg): 90.00 90.00 90.00
Last column: nearest neighbours and their distance in Å.
Space group Pm-3m (No. 221)
One atom of each set of equivalent atoms:
Sm 0.0000 0.0000 0.0000  24 Pd 4.41
Pd 0.1958 0.5000 0.5000  5 Pd 2.35-2.59

Size of the total moment = 0.00 μB/f.u.
Calculated volume = 217 Å³/cell
Energy above the lowest structure with this stoichiometry = 10.10 eV per formula unit
Formation energy = 1.03 eV per atom
Uncorrected energy = -4.097 eV/atom



Record 3
The following is a DFT calculation (PBE) of Nb2MoPt after structural relaxation.

a b c (Å): 3.3022 3.3022 6.2318
angles (deg): 90.00 90.00 90.00
Last column: nearest neighbours and their distance in Å.
Space group P4/mmm (No. 123)
One atom of each set of equivalent atoms:
Nb 0.0000 0.0000 0.2417  4 Mo 2.78, 4 Pt 2.84, 1 Nb 3.01
Mo 0.5000 0.5000 0.0000  8 Nb 2.78
Pt 0.5000 0.5000 0.5000  8 Nb 2.84, 2 Mo 3.12

Size of the total moment = 0.00 μB/f.u.
Calculated volume = 68 Å³/cell
Formation energy = -0.32 eV per atom
Uncorrected energy = -9.568 eV/atom



Record 4
The following is a DFT calculation (PBE) of Tm2CuSi4Ir3 after structural relaxation.

a b c (Å): 4.0828 4.0828 9.9303
angles (deg): 90.00 90.00 90.00
Last column: nearest neighbours and their distance in Å.
Space group P-4m2 (No. 115)
One atom of each set of equivalent atoms:
Tm 0.0000 0.5000 0.2464  6 Ir 3.11-3.24, 8 Si 3.13-3.19, 2 Cu 3.24
Cu 0.0000 0.0000 0.5000  4 Si 2.43
Si 0.0000 0.0000 0.0000  4 Ir 2.41
Si 0.0000 0.5000 0.6320  3 Ir 2.36-2.43, 2 Cu 2.43
Si 0.5000 0.5000 0.0000  4 Ir 2.41
Ir 0.0000 0.5000 0.8701  5 Si 2.36-2.41
Ir 0.5000 0.5000 0.5000  4 Si 2.43

Size of the total moment = 0.00 μB/f.u.
Calculated volume = 166 Å³/cell
Uncorrected energy = -7.019 eV/atom



Record 5
The following is a DFT calculation (PBE) of Na4Ti3AlS8 after structural relaxation.

a b c (Å): 7.2047 7.2047 19.8474
angles (deg): 90.00 90.00 120.00
Last column: nearest neighbours and their distance in Å.
Space group R-3m (No. 166, hexagonal axes)
One atom of each set of equivalent atoms:
Na 0.0000 0.0000 0.0000  6 S 2.87
Na 0.0000 0.5000 0.0000  6 S 2.82-2.84
Ti 0.0000 0.5000 0.5000  6 S 2.50-2.51
Al 0.0000 0.0000 0.5000  6 S 2.46
S 0.0000 0.0000 0.2374  3 Ti 2.51
S 0.0058 0.5029 0.2353  1 Al 2.46, 2 Ti 2.50

Size of the total moment = 2.81 μB/f.u.
Calculated volume = 892 Å³/cell
Uncorrected energy = -5.395 eV/atom



Record 6
The following is a DFT calculation (PBE) of Tc2SnHgRh after structural relaxation.

a b c (Å): 5.0687 5.0687 5.1593
angles (deg): 90.00 90.00 90.00
Last column: nearest neighbours and their distance in Å.
Space group P4/mmm (No. 123)
One atom of each set of equivalent atoms:
Tc 0.0000 0.5000 0.0000  2 Hg 2.53
Sn 0.0000 0.0000 0.5000  2 Hg 2.58
Hg 0.0000 0.0000 0.0000  4 Tc 2.53, 2 Sn 2.58
Rh 0.5000 0.5000 0.5000  4 Sn 3.58, 8 Tc 3.62

Size of the total moment = 6.77 μB/f.u.
Calculated volume = 133 Å³/cell
Formation energy = 2.25 eV per atom
Uncorrected energy = -4.224 eV/atom



Record 7
The following is a DFT calculation (PBE) of Na2Be3GaAu12 after structural relaxation.

a b c (Å): 8.2447 8.2447 18.6697
angles (deg): 90.00 90.00 120.00
Last column: nearest neighbours and their distance in Å.
Space group R-3m (No. 166, hexagonal axes)
One atom of each set of equivalent atoms:
Na 0.0000 0.0000 0.1037  6 Au 2.95-3.07
Be 0.0000 0.5000 0.0000  6 Au 2.30-2.34
Ga 0.0000 0.0000 0.5000  6 Au 2.55
Au 0.0061 0.5030 0.8767  1 Be 2.30, 1 Ga 2.55
Au 0.0336 0.5168 0.3642  2 Be 2.34

Size of the total moment = 0.00 μB/f.u.
Calculated volume = 1099 Å³/cell
Formation energy = -0.04 eV per atom
Uncorrected energy = -3.163 eV/atom



Record 8
The following is a DFT calculation (PBE) of Na2NbSeS after structural relaxation.

a b c (Å): 6.1003 6.1003 4.8181
angles (deg): 90.00 90.00 90.00
Last column: nearest neighbours and their distance in Å.
Space group P4/mmm (No. 123)
One atom of each set of equivalent atoms:
Na 0.0000 0.5000 0.0000  2 Nb 3.05
Nb 0.0000 0.0000 0.0000  2 Se 2.41
Se 0.0000 0.0000 0.5000  2 Nb 2.41
S 0.5000 0.5000 0.5000  8 Na 3.89, 4 Se 4.31

Size of the total moment = 2.99 μB/f.u.
Calculated volume = 179 Å³/cell
Uncorrected energy = -3.548 eV/atom